The following is a DFT calculation (PBE) of a relaxed structure of YHg2Sb.

Lattice parameters (Å, degrees): 6.0852 6.0852 4.3881 79.40 79.40 41.89
Element x y z (fractional)
Hg1 0.9941 0.9941 0.0071
Hg2 0.5059 0.5059 0.4929
Sb1 0.7500 0.7500 0.7500
Y1 0.2500 0.2500 0.2500

The following is a DFT calculation (PBE) of a relaxed structure of K3HgTe3.

Lattice parameters (Å, degrees): 7.9759 7.9759 9.1494 93.83 93.83 102.02
Element x y z (fractional)
K1 0.5867 0.5867 0.3476
K2 0.1617 0.8383 0.5000
K3 0.8383 0.1617 0.5000
K4 0.2344 0.7656 0.0000
K5 0.7656 0.2344 0.0000
K6 0.4133 0.4133 0.6524
Hg1 0.7773 0.7773 0.8988
Hg2 0.2227 0.2227 0.1012
Te1 0.8712 0.8712 0.1927
Te2 0.8840 0.5280 0.7228
Te3 0.5280 0.8840 0.7228
Te4 0.1160 0.4720 0.2772
Te5 0.4720 0.1160 0.2772
Te6 0.1288 0.1288 0.8073

Calculated values
For the energy above the most stable polymorph in this dataset, the calculation gives 0 meV/atom.

Number 1: DFT total energy -3.231 eV/atom, ΔE_f (raw) -0.43 eV/atom. Number 2: DFT total energy -2.525 eV/atom, ΔE_f (raw) -0.67 eV/atom.